No. 1
Computed, not measured: crystalline Nd3DySn12 at its relaxed geometry at the PBE level of DFT.

Cell and atoms, written as CIF:
```
data_Nd3DySn12
_symmetry_space_group_name_H-M 'P 4/m m m'
_symmetry_Int_Tables_number 123
_symmetry_space_group_name_Hall '-P 4 2'
_cell_length_a 4.779
_cell_length_b 4.779
_cell_length_c 18.861
_cell_angle_alpha 90.00
_cell_angle_beta 90.00
_cell_angle_gamma 90.00
loop_
_atom_site_label
_atom_site_type_symbol
_atom_site_fract_x
_atom_site_fract_y
_atom_site_fract_z
Nd1 Nd 0.000 0.000 0.000
Nd2 Nd 0.000 0.000 0.252
Dy1 Dy 0.000 0.000 0.500
Sn1 Sn 0.000 0.500 0.126
Sn2 Sn 0.000 0.500 0.378
Sn3 Sn 0.500 0.500 0.000
Sn4 Sn 0.500 0.500 0.252
Sn5 Sn 0.500 0.500 0.500
```



No. 2
Computed, not measured: crystalline NdDy5Sn4 at its relaxed geometry at the PBE level of DFT.

Cell and atoms, written as CIF:
```
data_NdDy5Sn4
_symmetry_space_group_name_H-M 'C 1 2/m 1'
_symmetry_Int_Tables_number 12
_cell_length_a 17.880
_cell_length_b 4.440
_cell_length_c 8.092
_cell_angle_alpha 90.00
_cell_angle_beta 102.46
_cell_angle_gamma 90.00
loop_
_symmetry_equiv_pos_as_xyz
'x,y,z'
'-x,-y,-z'
'-x,y,-z'
'x,-y,z'
'x+1/2,y+1/2,z'
'-x+1/2,-y+1/2,-z'
'-x+1/2,y+1/2,-z'
'x+1/2,-y+1/2,z'
loop_
_atom_site_label
_atom_site_type_symbol
_atom_site_fract_x
_atom_site_fract_y
_atom_site_fract_z
Nd1 Nd 0.000 0.000 0.000
Dy1 Dy 0.000 0.000 0.500
Dy2 Dy 0.139 0.500 0.723
Dy3 Dy 0.205 0.500 0.305
Sn1 Sn 0.037 0.500 0.282
Sn2 Sn 0.189 0.000 0.010
```



No. 3
Computed, not measured: crystalline NdDy4Sn4 at its relaxed geometry at the PBE level of DFT.

Cell and atoms, written as CIF:
```
data_NdDy4Sn4
_symmetry_space_group_name_H-M 'P 42/n'
_symmetry_Int_Tables_number 86
_cell_length_a 9.882
_cell_length_b 9.882
_cell_length_c 6.138
_cell_angle_alpha 90.00
_cell_angle_beta 90.00
_cell_angle_gamma 90.00
loop_
_symmetry_equiv_pos_as_xyz
'x,y,z'
'-x,-y,-z'
'-y,x+1/2,z+1/2'
'y,-x+1/2,-z+1/2'
'-x+1/2,-y+1/2,z'
'x+1/2,y+1/2,-z'
'y+1/2,-x,z+1/2'
'-y+1/2,x,-z+1/2'
loop_
_atom_site_label
_atom_site_type_symbol
_atom_site_fract_x
_atom_site_fract_y
_atom_site_fract_z
Nd1 Nd 0.250 0.250 0.250
Dy1 Dy 0.095 0.648 0.141
Sn1 Sn 0.037 0.612 0.651
```



No. 4
Computed, not measured: crystalline NdDySn at its relaxed geometry at the PBE level of DFT.

Cell and atoms, written as CIF:
```
data_NdDySn
_symmetry_space_group_name_H-M 'P 3 m 1'
_symmetry_Int_Tables_number 156
_cell_length_a 5.1561
_cell_length_b 5.1561
_cell_length_c 3.9578
_cell_angle_alpha 90.00
_cell_angle_beta 90.00
_cell_angle_gamma 120.00
loop_
_symmetry_equiv_pos_as_xyz
'x,y,z'
'-y,x-y,z'
'-x+y,-x,z'
'-y,-x,z'
'-x+y,y,z'
'x,x-y,z'
loop_
_atom_site_label
_atom_site_type_symbol
_atom_site_fract_x
_atom_site_fract_y
_atom_site_fract_z
Nd1 Nd 0.0000 0.0000 0.0000
Dy1 Dy 0.3333 0.6667 0.5548
Sn1 Sn 0.6667 0.3333 0.3483
```



Number 1: raw total energy -74.66 eV for the cell shown, magnetic moment 0.00 μB per formula unit. Number 2: raw total energy -95.82 eV for the cell shown, magnetic moment 0.22 μB per formula unit. Number 3: raw total energy -86.13 eV for the cell shown, magnetic moment 0.00 μB per formula unit. Number 4: raw total energy -14.48 eV for the cell shown, magnetic moment 0.00 μB per formula unit.